# PBE Sr2GeRhN, optimized geometry
data_Sr2GeRhN
_chemical_formula_sum 'Sr2 Ge1 Rh1 N1'
_cell_length_a 5.495
_cell_length_b 5.495
_cell_length_c 3.790
_cell_angle_alpha 90.00
_cell_angle_beta 90.00
_cell_angle_gamma 90.00
_symmetry_space_group_name_H-M 'P 4/m m m'
_symmetry_Int_Tables_number 123
_symmetry_space_group_name_Hall '-P 4 2'
loop_
_atom_site_label
_atom_site_type_symbol
_atom_site_fract_x
_atom_site_fract_y
_atom_site_fract_z
Sr1 Sr 0.000 0.500 0.000
Ge1 Ge 0.000 0.000 0.500
Rh1 Rh 0.500 0.500 0.500
N1 N 0.500 0.500 0.000
# * DOS(E_F): 3.64 states/eV per cell
# * formation energy (no corrections): -0.4629 eV/atom



# PBE CaBeRe2, optimized geometry
data_CaBeRe2
_chemical_formula_sum 'Ca2 Be2 Re4'
_cell_length_a 3.365
_cell_length_b 4.197
_cell_length_c 8.662
_cell_angle_alpha 90.00
_cell_angle_beta 90.00
_cell_angle_gamma 90.00
_symmetry_space_group_name_H-M 'C m m m'
_symmetry_Int_Tables_number 65
_symmetry_space_group_name_Hall '-C 2 2'
loop_
_atom_site_label
_atom_site_type_symbol
_atom_site_fract_x
_atom_site_fract_y
_atom_site_fract_z
Ca1 Ca 0.000 0.000 0.000
Be1 Be 0.000 0.000 0.500
Re1 Re 0.000 0.500 0.297
# * DOS(E_F): 5.60 states/eV per cell
# * E_form: 0.49 eV/atom



# PBE Sr5Pr3S8, optimized geometry
data_Sr5Pr3S8
_chemical_formula_sum 'Sr15 Pr9 S24'
_cell_length_a 8.3743
_cell_length_b 8.3743
_cell_length_c 20.7342
_cell_angle_alpha 90.00
_cell_angle_beta 90.00
_cell_angle_gamma 120.00
_symmetry_space_group_name_H-M 'R -3 m'
_symmetry_Int_Tables_number 166
_symmetry_space_group_name_Hall '-R 3 2"'
loop_
_atom_site_label
_atom_site_type_symbol
_atom_site_fract_x
_atom_site_fract_y
_atom_site_fract_z
Sr1 Sr 0.0000 0.0000 0.0000
Sr2 Sr 0.0000 0.0000 0.5000
Sr3 Sr 0.0000 0.5000 0.0000
Pr1 Pr 0.0000 0.5000 0.5000
S1 S 0.0000 0.0000 0.2475
S2 S 0.0045 0.5022 0.7522
# * DOS(E_F): 13.44 states/eV per cell
# * formation energy (no corrections): -2.0682 eV/atom



# PBE YCoRh2Cl, optimized geometry
data_YCoRh2Cl
_chemical_formula_sum 'Y1 Co1 Rh2 Cl1'
_cell_length_a 4.999
_cell_length_b 4.999
_cell_length_c 5.015
_cell_angle_alpha 90.00
_cell_angle_beta 90.00
_cell_angle_gamma 90.00
_symmetry_space_group_name_H-M 'P 4/m m m'
_symmetry_Int_Tables_number 123
_symmetry_space_group_name_Hall '-P 4 2'
loop_
_atom_site_label
_atom_site_type_symbol
_atom_site_fract_x
_atom_site_fract_y
_atom_site_fract_z
Y1 Y 0.000 0.000 0.000
Co1 Co 0.000 0.000 0.500
Rh1 Rh 0.000 0.500 0.000
Cl1 Cl 0.500 0.500 0.500
# * DOS(E_F): 12.69 states/eV per cell
# * formation energy (no corrections): 1.3906 eV/atom



# PBE Ba3In6GaSn2, optimized geometry
data_Ba3In6GaSn2
_chemical_formula_sum 'Ba3 In6 Ga1 Sn2'
_cell_length_a 7.0532
_cell_length_b 7.0532
_cell_length_c 9.5419
_cell_angle_alpha 90.00
_cell_angle_beta 90.00
_cell_angle_gamma 120.00
_symmetry_space_group_name_H-M 'P -3 m 1'
_symmetry_Int_Tables_number 164
_symmetry_space_group_name_Hall '-P 3 2"'
loop_
_atom_site_label
_atom_site_type_symbol
_atom_site_fract_x
_atom_site_fract_y
_atom_site_fract_z
Ba1 Ba 0.0000 0.0000 0.0000
Ba2 Ba 0.3333 0.6667 0.6925
In1 In 0.1880 0.3759 0.3329
Ga1 Ga 0.0000 0.0000 0.5000
Sn1 Sn 0.3333 0.6667 0.0581
# * DOS(E_F): 6.44 states/eV per cell
# * E_form: -0.18 eV/atom



# PBE PuSi2PtAu2, optimized geometry
data_PuSi2PtAu2
_chemical_formula_sum 'Pu2 Si4 Pt2 Au4'
_cell_length_a 4.890
_cell_length_b 4.890
_cell_length_c 10.950
_cell_angle_alpha 90.00
_cell_angle_beta 90.00
_cell_angle_gamma 90.00
_symmetry_space_group_name_H-M 'I 4/m m m'
_symmetry_Int_Tables_number 139
_symmetry_space_group_name_Hall '-I 4 2'
loop_
_atom_site_label
_atom_site_type_symbol
_atom_site_fract_x
_atom_site_fract_y
_atom_site_fract_z
Pu1 Pu 0.000 0.000 0.000
Si1 Si 0.000 0.000 0.290
Pt1 Pt 0.000 0.000 0.500
Au1 Au 0.000 0.500 0.250
# * DOS(E_F): 34.25 states/eV per cell
# * formation energy (no corrections): -0.1126 eV/atom



# PBE ZnP2OF, optimized geometry
data_ZnP2OF
_chemical_formula_sum 'Zn1 P2 O1 F1'
_cell_length_a 3.991
_cell_length_b 3.991
_cell_length_c 4.568
_cell_angle_alpha 90.00
_cell_angle_beta 90.00
_cell_angle_gamma 90.00
_symmetry_space_group_name_H-M 'P 4/m m m'
_symmetry_Int_Tables_number 123
_symmetry_space_group_name_Hall '-P 4 2'
loop_
_atom_site_label
_atom_site_type_symbol
_atom_site_fract_x
_atom_site_fract_y
_atom_site_fract_z
Zn1 Zn 0.000 0.000 0.000
P1 P 0.000 0.500 0.500
O1 O 0.500 0.500 0.000
F1 F 0.500 0.500 0.500
# * DOS(E_F): 2.32 states/eV per cell
# * formation energy (no corrections): 0.7077 eV/atom



# PBE TlAs2I8, optimized geometry
data_TlAs2I8
_chemical_formula_sum 'Tl2 As4 I16'
_cell_length_a 15.263
_cell_length_b 11.939
_cell_length_c 7.203
_cell_angle_alpha 90.00
_cell_angle_beta 103.46
_cell_angle_gamma 90.00
_symmetry_space_group_name_H-M 'C 1 2/m 1'
_symmetry_Int_Tables_number 12
loop_
_symmetry_equiv_pos_as_xyz
'x,y,z'
'-x,-y,-z'
'-x,y,-z'
'x,-y,z'
'x+1/2,y+1/2,z'
'-x+1/2,-y+1/2,-z'
'-x+1/2,y+1/2,-z'
'x+1/2,-y+1/2,z'
loop_
_atom_site_label
_atom_site_type_symbol
_atom_site_fract_x
_atom_site_fract_y
_atom_site_fract_z
Tl1 Tl 0.000 0.000 0.000
As1 As 0.217 0.000 0.703
I1 I 0.106 0.500 0.087
I2 I 0.124 0.182 0.765
I3 I 0.218 0.000 0.333
# * DOS(E_F): 11.59 states/eV per cell
# * formation energy (no corrections): -0.1764 eV/atom



Magnetization
In order: 0.0 0.0 0.0 2.9 0.0 5.7 0.0 0.0
Unit: μB/f.u.